# PBE-GGA LiAcPuS3, optimized geometry
# **D(E_F)**: 10.8 states/eV/f.u.
# **Calculated density**: 6.6 g/cm³
# **Energy relative to the elements, uncorrected**: -1.75 eV/atom
data_LiAcPuS3
_chemical_formula_sum 'Li2 Ac2 Pu2 S6'
_symmetry_space_group_name_H-M 'P 1 21/m 1'
_symmetry_Int_Tables_number 11
_cell_length_a 8.364
_cell_length_b 4.037
_cell_length_c 8.729
_cell_angle_alpha 90.00
_cell_angle_beta 102.89
_cell_angle_gamma 90.00
loop_
_symmetry_equiv_pos_as_xyz
'x,y,z'
'-x,-y,-z'
'-x,y+1/2,-z'
'x,-y+1/2,z'
loop_
_atom_site_label
_atom_site_fract_x
_atom_site_fract_y
_atom_site_fract_z
Li1 0.090 0.250 0.088
Ac1 0.183 0.250 0.725
Pu1 0.338 0.750 0.337
S1 0.105 0.250 0.365
S2 0.205 0.750 0.002
S3 0.431 0.750 0.667


# PBE-GGA Li2AcPuS4, optimized geometry
# **D(E_F)**: 12.7 states/eV/f.u.
# **Calculated density**: 5.6 g/cm³
# **Energy relative to the elements, uncorrected**: -1.56 eV/atom
data_Li2AcPuS4
_chemical_formula_sum 'Li4 Ac2 Pu2 S8'
_symmetry_space_group_name_H-M 'I -4 2 m'
_symmetry_Int_Tables_number 121
_symmetry_space_group_name_Hall 'I -4 2'
_cell_length_a 6.825
_cell_length_b 6.825
_cell_length_c 7.753
_cell_angle_alpha 90.00
_cell_angle_beta 90.00
_cell_angle_gamma 90.00
loop_
_atom_site_label
_atom_site_fract_x
_atom_site_fract_y
_atom_site_fract_z
Li1 0.000 0.500 0.250
Ac1 0.000 0.000 0.000
Pu1 0.000 0.000 0.500
S1 0.233 0.233 0.700


# PBE-GGA LiAcPuSb, optimized geometry
# **D(E_F)**: 11.7 states/eV/f.u.
# **Calculated density**: 9.0 g/cm³
# **Energy relative to the elements, uncorrected**: -0.07 eV/atom
data_LiAcPuSb
_chemical_formula_sum 'Li4 Ac4 Pu4 Sb4'
_symmetry_space_group_name_H-M 'F -4 3 m'
_symmetry_Int_Tables_number 216
_symmetry_space_group_name_Hall 'F -4 2 3'
_cell_length_a 7.627
_cell_length_b 7.627
_cell_length_c 7.627
_cell_angle_alpha 90.00
_cell_angle_beta 90.00
_cell_angle_gamma 90.00
loop_
_atom_site_label
_atom_site_fract_x
_atom_site_fract_y
_atom_site_fract_z
Li1 0.000 0.000 0.000
Ac1 0.250 0.250 0.750
Pu1 0.000 0.000 0.500
Sb1 0.250 0.250 0.250


# PBE-GGA LiAc2PuSe6, optimized geometry
# **D(E_F)**: 9.8 states/eV/f.u.
# **Calculated density**: 7.0 g/cm³
# **Energy relative to the elements, uncorrected**: -1.55 eV/atom
data_LiAc2PuSe6
_chemical_formula_sum 'Li2 Ac4 Pu2 Se12'
_symmetry_space_group_name_H-M 'P 1 21/c 1'
_symmetry_Int_Tables_number 14
_cell_length_a 6.987
_cell_length_b 7.887
_cell_length_c 12.168
_cell_angle_alpha 90.00
_cell_angle_beta 123.31
_cell_angle_gamma 90.00
loop_
_symmetry_equiv_pos_as_xyz
'x,y,z'
'-x,-y,-z'
'-x,y+1/2,-z+1/2'
'x,-y+1/2,z+1/2'
loop_
_atom_site_label
_atom_site_fract_x
_atom_site_fract_y
_atom_site_fract_z
Li1 0.000 0.000 0.000
Ac1 0.211 0.101 0.749
Pu1 0.500 0.000 0.500
Se1 0.122 0.182 0.446
Se2 0.272 0.691 0.446
Se3 0.356 0.026 0.243


# PBE-GGA LiAc3Pu3Se8, optimized geometry
# **D(E_F)**: 43.1 states/eV/f.u.
# **Calculated density**: 7.6 g/cm³
# **Energy relative to the elements, uncorrected**: -1.62 eV/atom
data_LiAc3Pu3Se8
_chemical_formula_sum 'Li2 Ac6 Pu6 Se16'
_symmetry_space_group_name_H-M 'C 1 2/m 1'
_symmetry_Int_Tables_number 12
_cell_length_a 14.820
_cell_length_b 8.557
_cell_length_c 8.598
_cell_angle_alpha 90.00
_cell_angle_beta 124.94
_cell_angle_gamma 90.00
loop_
_symmetry_equiv_pos_as_xyz
'x,y,z'
'-x,-y,-z'
'-x,y,-z'
'x,-y,z'
'x+1/2,y+1/2,z'
'-x+1/2,-y+1/2,-z'
'-x+1/2,y+1/2,-z'
'x+1/2,-y+1/2,z'
loop_
_atom_site_label
_atom_site_fract_x
_atom_site_fract_y
_atom_site_fract_z
Li1 0.000 0.000 0.000
Ac1 0.000 0.000 0.500
Ac2 0.250 0.250 0.500
Pu1 0.000 0.500 0.000
Pu2 0.250 0.250 0.000
Se1 0.006 0.248 0.770
Se2 0.243 0.500 0.229
Se3 0.244 0.000 0.229


# PBE-GGA Li2AcPuSe4, optimized geometry
# **D(E_F)**: 12.2 states/eV/f.u.
# **Calculated density**: 6.4 g/cm³
# **Energy relative to the elements, uncorrected**: -1.51 eV/atom
data_Li2AcPuSe4
_chemical_formula_sum 'Li2 Ac1 Pu1 Se4'
_symmetry_space_group_name_H-M 'P 1 2/m 1'
_symmetry_Int_Tables_number 10
_cell_length_a 6.977
_cell_length_b 4.294
_cell_length_c 7.460
_cell_angle_alpha 90.00
_cell_angle_beta 111.10
_cell_angle_gamma 90.00
loop_
_symmetry_equiv_pos_as_xyz
'x,y,z'
'-x,-y,-z'
'-x,y,-z'
'x,-y,z'
loop_
_atom_site_label
_atom_site_fract_x
_atom_site_fract_y
_atom_site_fract_z
Li1 0.000 0.000 0.000
Li2 0.000 0.500 0.500
Ac1 0.500 0.000 0.500
Pu1 0.500 0.500 0.000
Se1 0.234 0.500 0.230
Se2 0.244 0.000 0.762